1.
# PBE PaTcS3, relaxed
data_PaTcS3
_chemical_formula_sum 'Pa4 Tc4 S12'
_cell_length_a 6.6890
_cell_length_b 6.6336
_cell_length_c 8.5650
_cell_angle_alpha 91.79
_cell_angle_beta 90.00
_cell_angle_gamma 90.00
_space_group_name_H-M_alt 'P 1'
_space_group_IT_number 1
_space_group_name_Hall 'P 1'
loop_
_atom_site_label
_atom_site_fract_x
_atom_site_fract_y
_atom_site_fract_z
S1 0.3339 0.5650 0.1278
S2 0.0569 0.9002 0.3389
S3 0.5339 0.7899 0.4456
S4 0.4661 0.2101 0.5544
Tc1 0.7536 0.0811 0.9145
Pa1 0.2974 0.2743 0.8328
Pa2 0.2026 0.2743 0.3328
S5 0.6661 0.4350 0.8722
Tc2 0.7464 0.0811 0.4145
S6 0.8339 0.4350 0.3722
Pa3 0.7974 0.7257 0.6672
S7 0.4431 0.9002 0.8389
S8 0.5569 0.0998 0.1611
S9 0.9431 0.0998 0.6611
Pa4 0.7026 0.7257 0.1672
Tc3 0.2464 0.9189 0.0855
S10 0.9661 0.7899 0.9456
S11 0.1661 0.5650 0.6278
S12 0.0339 0.2101 0.0544
Tc4 0.2536 0.9189 0.5855
# Mass density ... 7.44 g cm⁻³
# Raw formation energy ... -5.50 eV per formula unit
# Energy ... -151.0 eV per cell
# Spin magnetization ... 0.0 μB per formula unit

---

2.
# PBE TmSnI5, relaxed
data_TmSnI5
_chemical_formula_sum 'Tm2 Sn2 I10'
_cell_length_a 4.4367
_cell_length_b 9.2202
_cell_length_c 14.9973
_cell_angle_alpha 94.67
_cell_angle_beta 90.00
_cell_angle_gamma 90.00
_space_group_name_H-M_alt 'P 1'
_space_group_IT_number 1
_space_group_name_Hall 'P 1'
loop_
_atom_site_label
_atom_site_fract_x
_atom_site_fract_y
_atom_site_fract_z
I1 0.2500 0.8542 0.0706
I2 0.7500 0.3247 0.4852
I3 0.2500 0.3561 0.1390
Tm1 0.7500 0.5924 0.6485
I4 0.2500 0.6753 0.5148
Tm2 0.2500 0.4076 0.3515
I5 0.7500 0.9159 0.6831
I6 0.7500 0.6083 0.2981
Sn1 0.7500 0.0989 0.1337
Sn2 0.2500 0.9011 0.8663
I7 0.2500 0.3917 0.7019
I8 0.7500 0.1458 0.9294
I9 0.7500 0.6439 0.8610
I10 0.2500 0.0841 0.3169
# Density of states at the Fermi level ... 0.00 states/eV/atom
# Mass density ... 5.01 g cm⁻³
# Raw formation energy ... -6.58 eV per formula unit
# Energy ... -45.6 eV per cell
# Spin magnetization ... 0.0 μB per formula unit

---

3.
# PBE Yb, relaxed
data_Yb
_chemical_formula_sum 'Yb1'
_cell_length_a 3.7002
_cell_length_b 3.7002
_cell_length_c 3.7002
_cell_angle_alpha 109.43
_cell_angle_beta 109.43
_cell_angle_gamma 109.56
_space_group_name_H-M_alt 'P 1'
_space_group_IT_number 1
_space_group_name_Hall 'P 1'
loop_
_atom_site_label
_atom_site_fract_x
_atom_site_fract_y
_atom_site_fract_z
Yb1 0.0000 0.0000 0.0000
# Density of states at the Fermi level ... 0.42 states/eV/atom
# ΔE to the lowest computed polymorph ... 5 meV/atom
# Formation enthalpy at 0 K ... 5 meV/atom
# Mass density ... 7.37 g cm⁻³
# Energy ... -1.5 eV per cell
# Spin magnetization ... 0.0 μB per formula unit

---

4.
# PBE Cs3RbNp2Se6, relaxed
data_Cs3RbNp2Se6
_chemical_formula_sum 'Cs3 Rb1 Np2 Se6'
_cell_length_a 4.3836
_cell_length_b 9.9605
_cell_length_c 10.7301
_cell_angle_alpha 107.26
_cell_angle_beta 101.79
_cell_angle_gamma 90.00
_space_group_name_H-M_alt 'P 1'
_space_group_IT_number 1
_space_group_name_Hall 'P 1'
loop_
_atom_site_label
_atom_site_fract_x
_atom_site_fract_y
_atom_site_fract_z
Se1 0.6761 0.1536 0.3522
Se2 0.3174 0.4582 0.6349
Rb1 0.5000 0.0000 0.0000
Cs1 0.1538 0.8358 0.3076
Cs2 0.8462 0.1642 0.6924
Np1 0.8267 0.6600 0.6534
Np2 0.1733 0.3400 0.3466
Se3 0.0390 0.2680 0.0780
Cs3 0.5000 0.5000 0.0000
Se4 0.9610 0.7320 0.9220
Se5 0.6826 0.5418 0.3651
Se6 0.3239 0.8464 0.6478
# Density of states at the Fermi level ... 1.22 states/eV/atom
# Mass density ... 5.44 g cm⁻³
# Raw formation energy ... -14.37 eV per formula unit
# Energy ... -64.7 eV per cell
# Spin magnetization ... 6.0 μB per formula unit

---

Q: Which of these has the highest mass density?
A: PaTcS3